Computed, not measured: a PBEsol-optimized structure of BaOsRu2 at the meta-GGA SCAN level of DFT.

Its energy of formation from the pure elements is 1.329 eV per atom. Its energy above the lowest structure with this stoichiometry is 474 meV/atom.

The space group is Fm-3m (No. 225) and the conventional cell measures 6.565, 6.565 and 6.565 Å, with angles of 90.00, 90.00 and 90.00 degrees. Symmetry generates all atoms from Ba at (0.000, 0.000, 0.000), Os at (0.000, 0.000, 0.500) and Ru at (0.250, 0.250, 0.250).

---

Computed, not measured: a PBEsol-optimized structure of BaOsRu2 at the meta-GGA SCAN level of DFT.

Its energy of formation from the pure elements is 1.032 eV per atom. Its energy above the lowest structure with this stoichiometry is 178 meV/atom.

The space group is Immm (No. 71) and the conventional cell measures 3.314, 5.520 and 9.122 Å, with angles of 90.00, 90.00 and 90.00 degrees. Symmetry generates all atoms from Ba at (0.000, 0.000, 0.000), Os at (0.000, 0.000, 0.500) and Ru at (0.000, 0.500, 0.190).

---

Computed, not measured: a PBEsol-optimized structure of BaOs2RuSe at the meta-GGA SCAN level of DFT.

The calculation puts the raw formation energy at 1.73 eV/atom.

The space group is P4/mmm (No. 123) and the conventional cell measures 4.503, 4.503 and 5.706 Å, with angles of 90.00, 90.00 and 90.00 degrees. Symmetry generates all atoms from Ba at (0.000, 0.000, 0.000), Os at (0.000, 0.500, 0.500), Ru at (0.500, 0.500, 0.000) and Se at (0.000, 0.000, 0.500).

---

Computed, not measured: a PBEsol-optimized structure of BaSbOs2 at the meta-GGA SCAN level of DFT.

The calculation puts the raw formation energy at 0.46 eV/atom.

The space group is Pmm2 (No. 25) and the conventional cell measures 2.993, 3.725 and 7.912 Å, with angles of 90.00, 90.00 and 90.00 degrees. Symmetry generates all atoms from Ba at (0.000, 0.000, 0.000), Sb at (0.500, 0.500, 0.648), Os at (0.000, 0.000, 0.437) and Os at (0.500, 0.500, 0.302).

---

| no. | uncorrected energy (Ry/atom) |
| --- | --- |
| 1 | -3.2297 |
| 2 | -3.2514 |
| 3 | -3.3748 |
| 4 | -4.0194 |